[1]
First-principles (PBE+U) data for an optimized crystal structure of VPNO2, as listed in Alexandria.

Computed properties:
DOS(E_F) ... 2.4 states/eV per cell
Raw total energy ... -6.64 eV per atom
Mass density ... 4.76 g/cm³
Crystal system ... tetragonal

a = 3.5463 Å, b = 3.5463 Å, c = 3.5501 Å
α = 90.00°, β = 90.00°, γ = 90.00°
With the nearest neighbours (Å) after each atom.
Space group P4/mmm (No. 123)
Inequivalent atoms, fractional coordinates:
V  0.0000  0.0000  0.0000  4 N 2.51, 8 O 2.51
P  0.5000  0.5000  0.5000  4 O 1.77, 2 N 1.78
N  0.5000  0.5000  0.0000  2 P 1.78
O  0.0000  0.5000  0.5000  2 P 1.77

=====

[2]
First-principles (PBE+U) data for an optimized crystal structure of VPNO2, as listed in Alexandria.

Computed properties:
DOS(E_F) ... 1.6 states/eV per cell
Raw total energy ... -5.43 eV per atom
Mass density ... 4.05 g/cm³
Crystal system ... tetragonal

a = 3.7996 Å, b = 3.7996 Å, c = 3.6360 Å
α = 90.00°, β = 90.00°, γ = 90.00°
With the nearest neighbours (Å) after each atom.
Space group P4/mmm (No. 123)
Inequivalent atoms, fractional coordinates:
V  0.0000  0.0000  0.0000  8 O 2.63, 4 P 2.69
P  0.5000  0.5000  0.0000  2 N 1.82
N  0.5000  0.5000  0.5000  2 P 1.82, 4 O 1.90
O  0.0000  0.5000  0.5000  2 N 1.90